Compound: AlZnSb
Source: Alexandria
Functional: PBE
Structure: optimized geometry

Summary:
E above lowest polymorph (meV per atom): 92
DOS at the Fermi energy (states/eV per cell): 1.68
Total magnetic moment (μB/f.u.): 0.00
Formation energy (no corrections) (meV/atom): 211

a = 6.5434 Å, b = 6.3869 Å, c = 3.2520 Å
α = 78.12°, β = 72.78°, γ = 29.10°
Closest atoms and distances in Å follow each position.
Atoms (fractional coordinates):
Al 0.9842 0.9842 0.0158  2 Zn 2.65
Sb 0.6685 0.6685 0.3315  4 Zn 2.99-3.31, 2 Al 3.04, 4 Sb 3.25
Zn 0.3473 0.3473 0.6527  2 Al 2.65

Compound: Al2ZnSb
Source: Alexandria
Functional: PBE
Structure: optimized geometry

Summary:
E above lowest polymorph (meV per atom): 59
DOS at the Fermi energy (states/eV per cell): 1.22
Total magnetic moment (μB/f.u.): 0.00
Formation energy (no corrections) (meV/atom): 199

a = 5.3154 Å, b = 5.3153 Å, c = 5.2589 Å
α = 132.59°, β = 132.59°, γ = 68.66°
Closest atoms and distances in Å follow each position.
Atoms (fractional coordinates):
Al 0.2509 0.7491 0.5000  4 Zn 2.95-3.04, 4 Sb 3.01-3.10, 4 Al 3.04-3.07
Al 0.9951 0.0049 0.0000  4 Zn 2.99-3.12, 4 Sb 3.00-3.01, 4 Al 3.04-3.07
Zn 0.7586 0.2414 0.5000  8 Al 2.95-3.12, 4 Sb 3.05-3.07
Sb 0.4955 0.5045 0.0000  8 Al 3.00-3.10, 4 Zn 3.05-3.07

Compound: Al2ZnSb
Source: Alexandria
Functional: PBE
Structure: optimized geometry

Summary:
E above lowest polymorph (meV per atom): 26
DOS at the Fermi energy (states/eV per cell): 1.03
Total magnetic moment (μB/f.u.): 0.00
Formation energy (no corrections) (meV/atom): 166

a = 3.1432 Å, b = 3.9181 Å, c = 6.4127 Å
α = 90.00°, β = 90.00°, γ = 90.00°
Closest atoms and distances in Å follow each position.
Atoms (fractional coordinates):
Zn 0.5000 0.5000 0.7500  8 Al 2.87, 2 Zn 3.14, 2 Sb 3.21
Sb 0.5000 0.5000 0.2500  8 Al 3.10, 2 Sb 3.14, 2 Zn 3.21
Al 0.0000 0.0000 0.9662  1 Al 2.77, 4 Zn 2.87, 4 Sb 3.10
Al 0.0000 0.0000 0.5338  1 Al 2.77, 4 Zn 2.87, 4 Sb 3.10

Compound: Al2ZnSb
Source: Alexandria
Functional: PBE
Structure: optimized geometry

Summary:
E above lowest polymorph (meV per atom): 49
DOS at the Fermi energy (states/eV per cell): 0.86
Total magnetic moment (μB/f.u.): 0.00
Formation energy (no corrections) (meV/atom): 189

a = 9.2704 Å, b = 9.2704 Å, c = 9.2704 Å
α = 19.82°, β = 19.82°, γ = 19.82°
Closest atoms and distances in Å follow each position.
Atoms (fractional coordinates):
Al 0.0018 0.0018 0.0018  3 Zn 2.74, 3 Al 2.84
Al 0.2557 0.2557 0.2557  3 Al 2.84, 3 Sb 3.05
Zn 0.7426 0.7426 0.7426  3 Al 2.74
Sb 0.4999 0.4999 0.4999  3 Al 3.05, 3 Zn 3.08, 6 Sb 3.19